This record from Alexandria describes a relaxed RbW2F crystal. The functional is GGA+U.

Cell and atoms, written as POSCAR:
```
RbW2F
1.0
-3.287 6.009 -2.749
-4.271 0.411 6.005
-0.159 6.272 3.993
Rb W F
2 4 2
direct
0.000 0.000 0.000 Rb
0.750 0.250 0.500 Rb
0.375 0.125 0.250 W
0.375 0.625 0.250 W
0.375 0.625 0.750 W
0.875 0.625 0.750 W
0.500 0.500 0.000 F
0.250 0.750 0.500 F
```

Results
Offset from the most stable computed form ... 0 kJ/mol of formula units
DOS at the Fermi energy ... 0.21 states/eV/cell